No. 1
Material: HfZrFe4
Method: DFT, meta-GGA SCAN
State: single point on PBEsol structure

```
data_HfZrFe4
_chemical_formula_sum 'Hf4 Zr4 Fe16'
_cell_length_a 6.891
_cell_length_b 6.891
_cell_length_c 6.891
_cell_angle_alpha 90.00
_cell_angle_beta 90.00
_cell_angle_gamma 90.00
_space_group_name_H-M_alt 'F -4 3 m'
_space_group_IT_number 216
_space_group_name_Hall 'F -4 2 3'
loop_
_atom_site_label
_atom_site_type_symbol
_atom_site_fract_x
_atom_site_fract_y
_atom_site_fract_z
_atom_site_occupancy
Hf1 Hf 0.000 0.000 0.000 1
Zr1 Zr 0.250 0.250 0.750 1
Fe1 Fe 0.125 0.125 0.375 1
```

Properties
- Formation energy: -0.2753 eV per atom


No. 2
Material: Na2ScInBr
Method: DFT, meta-GGA SCAN
State: single point on PBEsol structure

```
data_Na2ScInBr
_chemical_formula_sum 'Na2 Sc1 In1 Br1'
_cell_length_a 5.133
_cell_length_b 5.133
_cell_length_c 5.269
_cell_angle_alpha 90.00
_cell_angle_beta 90.00
_cell_angle_gamma 90.00
_space_group_name_H-M_alt 'P 4/m m m'
_space_group_IT_number 123
_space_group_name_Hall '-P 4 2'
loop_
_atom_site_label
_atom_site_type_symbol
_atom_site_fract_x
_atom_site_fract_y
_atom_site_fract_z
_atom_site_occupancy
Na1 Na 0.000 0.500 0.000 1
Sc1 Sc 0.000 0.000 0.500 1
In1 In 0.500 0.500 0.500 1
Br1 Br 0.000 0.000 0.000 1
```

Properties
- E_form (uncorrected): -287 meV/atom


No. 3
Material: Ba3YZn
Method: DFT, meta-GGA SCAN
State: single point on PBEsol structure

```
data_Ba3YZn
_chemical_formula_sum 'Ba3 Y1 Zn1'
_cell_length_a 6.323
_cell_length_b 6.323
_cell_length_c 6.323
_cell_angle_alpha 90.00
_cell_angle_beta 90.00
_cell_angle_gamma 90.00
_space_group_name_H-M_alt 'P m -3 m'
_space_group_IT_number 221
_space_group_name_Hall '-P 4 2 3'
loop_
_atom_site_label
_atom_site_type_symbol
_atom_site_fract_x
_atom_site_fract_y
_atom_site_fract_z
_atom_site_occupancy
Ba1 Ba 0.000 0.000 0.500 1
Y1 Y 0.000 0.000 0.000 1
Zn1 Zn 0.500 0.500 0.500 1
```

Properties
- Formation energy: 0.7735 eV per atom


No. 4
Material: SrCaTi2Ge2O10
Method: DFT, meta-GGA SCAN
State: single point on PBEsol structure

```
data_SrCaTi2Ge2O10
_chemical_formula_sum 'Sr2 Ca2 Ti4 Ge4 O20'
_cell_length_a 6.727
_cell_length_b 8.960
_cell_length_c 7.188
_cell_angle_alpha 90.00
_cell_angle_beta 113.77
_cell_angle_gamma 90.00
_space_group_name_H-M_alt 'P 1 21 1'
_space_group_IT_number 4
loop_
_space_group_symop_operation_xyz
'x,y,z'
'-x,y+1/2,-z'
loop_
_atom_site_label
_atom_site_type_symbol
_atom_site_fract_x
_atom_site_fract_y
_atom_site_fract_z
_atom_site_occupancy
Sr1 Sr 0.249 0.000 0.005 1
Ca1 Ca 0.250 0.347 0.502 1
Ti1 Ti 0.244 0.673 0.754 1
Ti2 Ti 0.256 0.670 0.262 1
Ge1 Ge 0.251 0.357 0.001 1
Ge2 Ge 0.251 0.988 0.502 1
O1 O 0.050 0.238 0.834 1
O2 O 0.066 0.114 0.329 1
O3 O 0.138 0.878 0.638 1
O4 O 0.159 0.462 0.157 1
O5 O 0.250 0.605 0.501 1
O6 O 0.250 0.729 0.000 1
O7 O 0.343 0.463 0.845 1
O8 O 0.363 0.877 0.366 1
O9 O 0.436 0.115 0.672 1
O10 O 0.451 0.237 0.168 1
```

Properties
- E_form (uncorrected): -2860 meV/atom


No. 5
Material: YCd2Ru
Method: DFT, meta-GGA SCAN
State: single point on PBEsol structure

```
data_YCd2Ru
_chemical_formula_sum 'Y1 Cd2 Ru1'
_cell_length_a 3.232
_cell_length_b 4.212
_cell_length_c 5.686
_cell_angle_alpha 90.00
_cell_angle_beta 90.00
_cell_angle_gamma 90.00
_space_group_name_H-M_alt 'P m m m'
_space_group_IT_number 47
loop_
_space_group_symop_operation_xyz
'x,y,z'
'-x,-y,-z'
'-x,-y,z'
'x,y,-z'
'x,-y,-z'
'-x,y,z'
'-x,y,-z'
'x,-y,z'
loop_
_atom_site_label
_atom_site_type_symbol
_atom_site_fract_x
_atom_site_fract_y
_atom_site_fract_z
_atom_site_occupancy
Y1 Y 0.000 0.000 0.000 1
Cd1 Cd 0.500 0.500 0.270 1
Ru1 Ru 0.000 0.000 0.500 1
```

Properties
- Formation energy: -0.0192 eV per atom


No. 6
Material: Mo2RuRhC
Method: DFT, meta-GGA SCAN
State: single point on PBEsol structure

```
data_Mo2RuRhC
_chemical_formula_sum 'Mo2 Ru1 Rh1 C1'
_cell_length_a 4.065
_cell_length_b 4.065
_cell_length_c 3.957
_cell_angle_alpha 90.00
_cell_angle_beta 90.00
_cell_angle_gamma 90.00
_space_group_name_H-M_alt 'P 4/m m m'
_space_group_IT_number 123
_space_group_name_Hall '-P 4 2'
loop_
_atom_site_label
_atom_site_type_symbol
_atom_site_fract_x
_atom_site_fract_y
_atom_site_fract_z
_atom_site_occupancy
Mo1 Mo 0.000 0.500 0.000 1
Ru1 Ru 0.000 0.000 0.500 1
Rh1 Rh 0.500 0.500 0.500 1
C1 C 0.000 0.000 0.000 1
```

Properties
- Formation energy: 0.1508 eV per atom


No. 7
Material: YFe2Ni2
Method: DFT, meta-GGA SCAN
State: single point on PBEsol structure

```
data_YFe2Ni2
_chemical_formula_sum 'Y2 Fe4 Ni4'
_cell_length_a 3.776
_cell_length_b 3.776
_cell_length_c 10.157
_cell_angle_alpha 90.00
_cell_angle_beta 90.00
_cell_angle_gamma 90.00
_space_group_name_H-M_alt 'I 4/m m m'
_space_group_IT_number 139
_space_group_name_Hall '-I 4 2'
loop_
_atom_site_label
_atom_site_type_symbol
_atom_site_fract_x
_atom_site_fract_y
_atom_site_fract_z
_atom_site_occupancy
Y1 Y 0.000 0.000 0.000 1
Fe1 Fe 0.000 0.500 0.250 1
Ni1 Ni 0.000 0.000 0.387 1
```

Properties
- Formation energy: -0.1557 eV per atom


No. 8
Material: Tc2NiPb
Method: DFT, meta-GGA SCAN
State: single point on PBEsol structure

```
data_Tc2NiPb
_chemical_formula_sum 'Tc2 Ni1 Pb1'
_cell_length_a 3.751
_cell_length_b 3.751
_cell_length_c 4.300
_cell_angle_alpha 90.00
_cell_angle_beta 90.00
_cell_angle_gamma 90.00
_space_group_name_H-M_alt 'P 4/m m m'
_space_group_IT_number 123
_space_group_name_Hall '-P 4 2'
loop_
_atom_site_label
_atom_site_type_symbol
_atom_site_fract_x
_atom_site_fract_y
_atom_site_fract_z
_atom_site_occupancy
Tc1 Tc 0.000 0.500 0.000 1
Ni1 Ni 0.000 0.000 0.500 1
Pb1 Pb 0.500 0.500 0.500 1
```

Properties
- Formation energy: 0.6150 eV per atom


No. 9
Material: IrRu2
Method: DFT, meta-GGA SCAN
State: single point on PBEsol structure

```
data_IrRu2
_chemical_formula_sum 'Ir4 Ru8'
_cell_length_a 9.764
_cell_length_b 2.698
_cell_length_c 6.349
_cell_angle_alpha 90.00
_cell_angle_beta 103.75
_cell_angle_gamma 90.00
_space_group_name_H-M_alt 'C 1 m 1'
_space_group_IT_number 8
loop_
_space_group_symop_operation_xyz
'x,y,z'
'x,-y,z'
'x+1/2,y+1/2,z'
'x+1/2,-y+1/2,z'
loop_
_atom_site_label
_atom_site_type_symbol
_atom_site_fract_x
_atom_site_fract_y
_atom_site_fract_z
_atom_site_occupancy
Ir1 Ir 0.000 0.000 0.000 1
Ir2 Ir 0.169 0.500 0.339 1
Ru1 Ru 0.057 0.000 0.614 1
Ru2 Ru 0.224 0.500 0.946 1
Ru3 Ru 0.335 0.000 0.669 1
Ru4 Ru 0.391 0.000 0.282 1
```

Properties
- Formation energy: -0.0634 eV per atom
- E above lowest polymorph: 0.015 eV per atom


No. 10
Material: NaTaAsBr2
Method: DFT, meta-GGA SCAN
State: single point on PBEsol structure

```
data_NaTaAsBr2
_chemical_formula_sum 'Na1 Ta1 As1 Br2'
_cell_length_a 5.187
_cell_length_b 5.187
_cell_length_c 4.982
_cell_angle_alpha 90.00
_cell_angle_beta 90.00
_cell_angle_gamma 90.00
_space_group_name_H-M_alt 'P 4/m m m'
_space_group_IT_number 123
_space_group_name_Hall '-P 4 2'
loop_
_atom_site_label
_atom_site_type_symbol
_atom_site_fract_x
_atom_site_fract_y
_atom_site_fract_z
_atom_site_occupancy
Na1 Na 0.000 0.000 0.000 1
Ta1 Ta 0.500 0.500 0.500 1
As1 As 0.500 0.500 0.000 1
Br1 Br 0.000 0.500 0.500 1
```

Properties
- E_form (uncorrected): -373 meV/atom


No. 11
Material: PtSeNO2
Method: DFT, meta-GGA SCAN
State: single point on PBEsol structure

```
data_PtSeNO2
_chemical_formula_sum 'Pt1 Se1 N1 O2'
_cell_length_a 3.626
_cell_length_b 3.626
_cell_length_c 4.279
_cell_angle_alpha 90.00
_cell_angle_beta 90.00
_cell_angle_gamma 90.00
_space_group_name_H-M_alt 'P 4/m m m'
_space_group_IT_number 123
_space_group_name_Hall '-P 4 2'
loop_
_atom_site_label
_atom_site_type_symbol
_atom_site_fract_x
_atom_site_fract_y
_atom_site_fract_z
_atom_site_occupancy
Pt1 Pt 0.000 0.000 0.000 1
Se1 Se 0.500 0.500 0.500 1
N1 N 0.500 0.500 0.000 1
O1 O 0.000 0.500 0.500 1
```

Properties
- E_form (uncorrected): 1045 meV/atom


No. 12
Material: LaMg2Os
Method: DFT, meta-GGA SCAN
State: single point on PBEsol structure

```
data_LaMg2Os
_chemical_formula_sum 'La2 Mg4 Os2'
_cell_length_a 8.605
_cell_length_b 4.485
_cell_length_c 5.698
_cell_angle_alpha 90.00
_cell_angle_beta 123.27
_cell_angle_gamma 90.00
_space_group_name_H-M_alt 'C 1 m 1'
_space_group_IT_number 8
loop_
_space_group_symop_operation_xyz
'x,y,z'
'x,-y,z'
'x+1/2,y+1/2,z'
'x+1/2,-y+1/2,z'
loop_
_atom_site_label
_atom_site_type_symbol
_atom_site_fract_x
_atom_site_fract_y
_atom_site_fract_z
_atom_site_occupancy
La1 La 0.000 0.000 0.000 1
Mg1 Mg 0.051 0.500 0.569 1
Mg2 Mg 0.313 0.500 0.369 1
Os1 Os 0.233 0.000 0.572 1
```

Properties
- Formation energy: 0.0138 eV per atom


No. 13
Material: N
Method: DFT, meta-GGA SCAN
State: single point on PBEsol structure

```
data_N
_chemical_formula_sum 'N16'
_cell_length_a 7.211
_cell_length_b 3.146
_cell_length_c 7.163
_cell_angle_alpha 90.00
_cell_angle_beta 90.00
_cell_angle_gamma 90.00
_space_group_name_H-M_alt 'P m n a'
_space_group_IT_number 53
loop_
_space_group_symop_operation_xyz
'x,y,z'
'-x,-y,-z'
'-x+1/2,-y,z+1/2'
'x+1/2,y,-z+1/2'
'x,-y,-z'
'-x,y,z'
'-x+1/2,y,-z+1/2'
'x+1/2,-y,z+1/2'
loop_
_atom_site_label
_atom_site_type_symbol
_atom_site_fract_x
_atom_site_fract_y
_atom_site_fract_z
_atom_site_occupancy
N1 N 0.000 0.000 0.000 1
N2 N 0.000 0.000 0.500 1
N3 N 0.000 0.069 0.164 1
N4 N 0.165 0.000 0.500 1
N5 N 0.250 0.011 0.750 1
```

Properties
- E_form (uncorrected): 2105 meV/atom
- E above lowest polymorph: 2.105 eV per atom


No. 14
Material: Al17Cu12
Method: DFT, meta-GGA SCAN
State: single point on PBEsol structure

```
data_Al17Cu12
_chemical_formula_sum 'Al34 Cu24'
_cell_length_a 9.271
_cell_length_b 9.271
_cell_length_c 9.271
_cell_angle_alpha 90.00
_cell_angle_beta 90.00
_cell_angle_gamma 90.00
_space_group_name_H-M_alt 'I -4 3 m'
_space_group_IT_number 217
_space_group_name_Hall 'I -4 2 3'
loop_
_atom_site_label
_atom_site_type_symbol
_atom_site_fract_x
_atom_site_fract_y
_atom_site_fract_z
_atom_site_occupancy
Al1 Al 0.000 0.000 0.000 1
Al2 Al 0.048 0.359 0.359 1
Al3 Al 0.166 0.166 0.834 1
Cu1 Cu 0.094 0.094 0.286 1
```

Properties
- Formation energy: -0.1660 eV per atom


No. 15
Material: AsIr3
Method: DFT, meta-GGA SCAN
State: single point on PBEsol structure

```
data_AsIr3
_chemical_formula_sum 'As1 Ir3'
_cell_length_a 3.857
_cell_length_b 3.857
_cell_length_c 3.857
_cell_angle_alpha 90.00
_cell_angle_beta 90.00
_cell_angle_gamma 90.00
_space_group_name_H-M_alt 'P m -3 m'
_space_group_IT_number 221
_space_group_name_Hall '-P 4 2 3'
loop_
_atom_site_label
_atom_site_type_symbol
_atom_site_fract_x
_atom_site_fract_y
_atom_site_fract_z
_atom_site_occupancy
As1 As 0.000 0.000 0.000 1
Ir1 Ir 0.000 0.500 0.500 1
```

Properties
- Formation energy: 0.1848 eV per atom
- E above lowest polymorph: 0.021 eV per atom


No. 16
Material: CsAlSiO4
Method: DFT, meta-GGA SCAN
State: single point on PBEsol structure

```
data_CsAlSiO4
_chemical_formula_sum 'Cs4 Al4 Si4 O16'
_cell_length_a 8.947
_cell_length_b 9.400
_cell_length_c 5.418
_cell_angle_alpha 90.00
_cell_angle_beta 90.00
_cell_angle_gamma 90.00
_space_group_name_H-M_alt 'P n a 21'
_space_group_IT_number 33
loop_
_space_group_symop_operation_xyz
'x,y,z'
'-x,-y,z+1/2'
'-x+1/2,y+1/2,z+1/2'
'x+1/2,-y+1/2,z'
loop_
_atom_site_label
_atom_site_type_symbol
_atom_site_fract_x
_atom_site_fract_y
_atom_site_fract_z
_atom_site_occupancy
Cs1 Cs 0.001 0.203 0.000 1
Al1 Al 0.184 0.583 0.012 1
Si1 Si 0.190 0.415 0.513 1
O1 O 0.009 0.411 0.513 1
O2 O 0.247 0.022 0.228 1
O3 O 0.247 0.971 0.746 1
O4 O 0.248 0.755 0.069 1
```

Properties
- E_form (uncorrected): -3076 meV/atom


No. 17
Material: SnPb3I
Method: DFT, meta-GGA SCAN
State: single point on PBEsol structure

```
data_SnPb3I
_chemical_formula_sum 'Sn1 Pb3 I1'
_cell_length_a 5.817
_cell_length_b 5.817
_cell_length_c 5.817
_cell_angle_alpha 90.00
_cell_angle_beta 90.00
_cell_angle_gamma 90.00
_space_group_name_H-M_alt 'P m -3 m'
_space_group_IT_number 221
_space_group_name_Hall '-P 4 2 3'
loop_
_atom_site_label
_atom_site_type_symbol
_atom_site_fract_x
_atom_site_fract_y
_atom_site_fract_z
_atom_site_occupancy
Sn1 Sn 0.000 0.000 0.000 1
Pb1 Pb 0.000 0.000 0.500 1
I1 I 0.500 0.500 0.500 1
```

Properties
- E_form (uncorrected): 383 meV/atom


No. 18
Material: CrAg2Ir
Method: DFT, meta-GGA SCAN
State: single point on PBEsol structure

```
data_CrAg2Ir
_chemical_formula_sum 'Cr2 Ag4 Ir2'
_cell_length_a 2.748
_cell_length_b 4.516
_cell_length_c 9.516
_cell_angle_alpha 90.00
_cell_angle_beta 90.00
_cell_angle_gamma 90.00
_space_group_name_H-M_alt 'C m m m'
_space_group_IT_number 65
_space_group_name_Hall '-C 2 2'
loop_
_atom_site_label
_atom_site_type_symbol
_atom_site_fract_x
_atom_site_fract_y
_atom_site_fract_z
_atom_site_occupancy
Cr1 Cr 0.000 0.000 0.000 1
Ag1 Ag 0.000 0.500 0.243 1
Ir1 Ir 0.000 0.000 0.500 1
```

Properties
- Formation energy: 0.6337 eV per atom
- E above lowest polymorph: 0.301 eV per atom


No. 19
Material: ReMoN2O
Method: DFT, meta-GGA SCAN
State: single point on PBEsol structure

```
data_ReMoN2O
_chemical_formula_sum 'Re1 Mo1 N2 O1'
_cell_length_a 3.911
_cell_length_b 3.911
_cell_length_c 3.768
_cell_angle_alpha 90.00
_cell_angle_beta 90.00
_cell_angle_gamma 90.00
_space_group_name_H-M_alt 'P 4/m m m'
_space_group_IT_number 123
_space_group_name_Hall '-P 4 2'
loop_
_atom_site_label
_atom_site_type_symbol
_atom_site_fract_x
_atom_site_fract_y
_atom_site_fract_z
_atom_site_occupancy
Re1 Re 0.000 0.000 0.000 1
Mo1 Mo 0.500 0.500 0.500 1
N1 N 0.000 0.500 0.000 1
O1 O 0.000 0.000 0.500 1
```

Properties
- E_form (uncorrected): 364 meV/atom


No. 20
Material: Ba2ZrRh
Method: DFT, meta-GGA SCAN
State: single point on PBEsol structure

```
data_Ba2ZrRh
_chemical_formula_sum 'Ba8 Zr4 Rh4'
_cell_length_a 7.500
_cell_length_b 7.500
_cell_length_c 7.500
_cell_angle_alpha 90.00
_cell_angle_beta 90.00
_cell_angle_gamma 90.00
_space_group_name_H-M_alt 'F -4 3 m'
_space_group_IT_number 216
_space_group_name_Hall 'F -4 2 3'
loop_
_atom_site_label
_atom_site_type_symbol
_atom_site_fract_x
_atom_site_fract_y
_atom_site_fract_z
_atom_site_occupancy
Ba1 Ba 0.000 0.000 0.000 1
Ba2 Ba 0.250 0.250 0.250 1
Zr1 Zr 0.000 0.000 0.500 1
Rh1 Rh 0.250 0.250 0.750 1
```

Properties
- Formation energy: 0.5732 eV per atom
- E above lowest polymorph: 0.135 eV per atom